{
  "formula": "Mg2Sn2Cl",
  "functional": "GGA-PBE",
  "state": "optimized geometry",
  "raw_formation_energy_ev_per_atom": -0.19,
  "sg": "I4/mmm (139)",
  "m_tot_mub_per_atom": 0.00,
  "dos_ef_per_ev_fu": 2.10,
  "e_above_lowest_polymorph_ev_per_atom": 0.097,
  "cell": [[4.1824, 0.0000, 0.0000], [0.0000, 4.1824, 0.0000], [2.0912, 2.0912, 7.6960]],
  "species": ["Mg", "Mg", "Sn", "Sn", "Cl"],
  "frac_coords": [[0.5983, 0.5983, 0.8033], [0.4017, 0.4017, 0.1967], [0.7500, 0.2500, 0.5000], [0.2500, 0.7500, 0.5000], [0.0000, 0.0000, 0.0000]]
}

***

{
  "formula": "MgSn3Cl",
  "functional": "GGA-PBE",
  "state": "optimized geometry",
  "raw_formation_energy_ev_per_atom": 0.36,
  "sg": "Pm-3m (221)",
  "m_tot_mub_per_atom": 0.00,
  "dos_ef_per_ev_fu": 3.30,
  "e_above_lowest_polymorph_ev_per_atom": 0.047,
  "cell": [[-0.1844, 1.2773, -5.2415], [1.9357, -4.8797, -1.2572], [-5.0357, -1.9225, -0.2913]],
  "species": ["Sn", "Sn", "Sn", "Mg", "Cl"],
  "frac_coords": [[0.0000, 0.5000, 0.0000], [0.0000, 0.0000, 0.5000], [0.5000, 0.0000, 0.0000], [0.5000, 0.5000, 0.5000], [0.0000, 0.0000, 0.0000]]
}

***

{
  "formula": "MgSn2Cl6",
  "functional": "GGA-PBE",
  "state": "optimized geometry",
  "raw_formation_energy_ev_per_atom": -1.25,
  "sg": "P4_2/mnm (136)",
  "m_tot_mub_per_atom": 0.00,
  "dos_ef_per_ev_fu": 0.00,
  "e_above_lowest_polymorph_ev_per_atom": 0.000,
  "cell": [[-2.4954, 5.8779, 1.1939], [-3.7993, -2.5497, 4.6116], [8.8459, 2.0455, 8.4187]],
  "species": ["Sn", "Sn", "Sn", "Sn", "Cl", "Cl", "Cl", "Cl", "Cl", "Cl", "Cl", "Cl", "Cl", "Cl", "Cl", "Cl", "Mg", "Mg"],
  "frac_coords": [[0.0000, 0.0000, 0.3336], [0.0000, 0.0000, 0.6664], [0.5000, 0.5000, 0.1664], [0.5000, 0.5000, 0.8336], [0.3131, 0.3131, 0.6517], [0.2208, 0.7792, 0.5000], [0.2792, 0.2792, 0.0000], [0.3131, 0.3131, 0.3483], [0.1869, 0.8131, 0.8483], [0.7208, 0.7208, 0.0000], [0.6869, 0.6869, 0.6517], [0.7792, 0.2208, 0.5000], [0.8131, 0.1869, 0.1517], [0.6869, 0.6869, 0.3483], [0.8131, 0.1869, 0.8483], [0.1869, 0.8131, 0.1517], [0.5000, 0.5000, 0.5000], [0.0000, 0.0000, 0.0000]]
}

***

{
  "formula": "MgSnCl6",
  "functional": "GGA-PBE",
  "state": "optimized geometry",
  "raw_formation_energy_ev_per_atom": -1.21,
  "sg": "C2/m (12)",
  "m_tot_mub_per_atom": 0.00,
  "dos_ef_per_ev_fu": 0.00,
  "e_above_lowest_polymorph_ev_per_atom": 0.000,
  "cell": [[-4.9790, -5.2850, -0.1527], [4.4918, 0.6306, 4.3124], [-3.5940, 5.8420, 1.4034]],
  "species": ["Cl", "Cl", "Cl", "Cl", "Cl", "Cl", "Mg", "Sn"],
  "frac_coords": [[0.2590, 0.5177, 0.0000], [0.6122, 0.8635, 0.7272], [0.7410, 0.4823, 0.0000], [0.3878, 0.1365, 0.2728], [0.8851, 0.1364, 0.2728], [0.1149, 0.8636, 0.7272], [0.0000, 0.0000, 0.0000], [0.5000, 0.0000, 0.0000]]
}

***

{
  "formula": "Mg5SnCl12",
  "functional": "GGA-PBE",
  "state": "optimized geometry",
  "raw_formation_energy_ev_per_atom": -1.69,
  "sg": "C2/m (12)",
  "m_tot_mub_per_atom": 0.00,
  "dos_ef_per_ev_fu": 0.00,
  "cell": [[6.5330, 0.0000, 0.0045], [3.2665, 5.6597, 0.0022], [0.0032, 0.0000, 13.3737]],
  "species": ["Mg", "Mg", "Mg", "Mg", "Mg", "Cl", "Cl", "Cl", "Cl", "Cl", "Cl", "Cl", "Cl", "Cl", "Cl", "Cl", "Cl", "Sn"],
  "frac_coords": [[0.6667, 0.6666, 0.0000], [0.8332, 0.3335, 0.5000], [0.1668, 0.6665, 0.5000], [0.3333, 0.3334, 0.0000], [0.5000, 0.0000, 0.5000], [0.5001, 0.3331, 0.5999], [0.6289, 0.0000, 0.8912], [0.1664, 0.0000, 0.6001], [0.0002, 0.3712, 0.8912], [0.8336, 0.0000, 0.3999], [0.3711, 0.0000, 0.1088], [0.6286, 0.3712, 0.1088], [0.8332, 0.6669, 0.5999], [0.3714, 0.6288, 0.8912], [0.1668, 0.3331, 0.4001], [0.9998, 0.6288, 0.1088], [0.4999, 0.6669, 0.4001], [0.0000, 0.0000, 0.0000]]
}

***

{
  "formula": "MgSnCl2",
  "functional": "GGA-PBE",
  "state": "optimized geometry",
  "raw_formation_energy_ev_per_atom": -0.42,
  "sg": "Fm-3m (225)",
  "m_tot_mub_per_atom": 0.00,
  "dos_ef_per_ev_fu": 2.68,
  "e_above_lowest_polymorph_ev_per_atom": 0.276,
  "cell": [[-0.0982, 2.7310, 4.4074], [-4.5330, 1.5252, 2.0049], [-1.7704, -2.1776, 4.3609]],
  "species": ["Cl", "Cl", "Sn", "Mg"],
  "frac_coords": [[0.7500, 0.7500, 0.7500], [0.2500, 0.2500, 0.2500], [0.5000, 0.5000, 0.5000], [0.0000, 0.0000, 0.0000]]
}